(1)
KTa2Mn PBE relaxed; ΔH_f (0 K) = 788 meV per atom; energy above the most stable polymorph in this dataset = 131 meV/atom
1.0
-5.8351 -0.9016 -8.5717
-6.4719 -3.6147 -7.3065
-8.0622 -1.1320 -6.4851
Ta K Mn
2 1 1
direct
0.4755 0.4755 0.4755
0.0245 0.0245 0.0245
0.2500 0.2500 0.2500
0.7500 0.7500 0.7500

---

(2)
KTa2Mn PBE relaxed; ΔH_f (0 K) = 694 meV per atom; energy above the most stable polymorph in this dataset = 37 meV/atom
1.0
-1.5056 2.0629 1.3546
-1.9486 -1.7437 -1.2327
-0.2407 -5.9887 8.8521
Mn Ta K
1 2 1
direct
0.5000 0.5000 0.8001
0.0000 0.0000 0.9904
0.5000 0.5000 0.1988
0.0000 0.0000 0.5108

---

(3)
KTa2Mn PBE relaxed; ΔH_f (0 K) = 1462 meV per atom; energy above the most stable polymorph in this dataset = 806 meV/atom
1.0
5.9016 0.0003 0.0000
3.2001 4.9586 0.0000
-4.5509 -2.4794 2.8232
Ta K Mn
2 1 1
direct
0.5000 0.5000 0.0000
0.0000 0.0000 0.0000
0.2500 0.7500 0.5000
0.7500 0.2500 0.5000

---

What is the formula in the first record?
KTa2Mn

---

Which of these has the highest energy above the most stable polymorph in this dataset?
number 3